# 1
Below is a geometry-optimized Nb8GeAs2 structure, with properties calculated at the PBE-GGA level.

Cell: 7.510 11.376 4.994 Å, 90.00 109.65 90.00°
Space group C2/m (No. 12)
Symmetry-distinct sites (fractional):
Nb: 0.000 0.239 0.000 x4
Nb: 0.122 0.500 0.840 x4
Nb: 0.205 0.116 0.611 x8
Ge: 0.000 0.000 0.000 x2
As: 0.000 0.314 0.500 x4

---

# 2
Below is a geometry-optimized NbGeAs structure, with properties calculated at the PBE-GGA level.

Cell: 5.893 5.912 6.002 Å, 90.00 90.00 90.00°
Space group I2_12_12_1 (No. 24)
Symmetry-distinct sites (fractional):
Nb: 0.000 0.250 0.126 x4
Ge: 0.133 0.500 0.750 x4
As: 0.250 0.104 0.500 x4

---

# 3
Below is a geometry-optimized Nb2NiGeAs structure, with properties calculated at the PBE-GGA level.

Cell: 4.809 4.809 4.101 Å, 90.00 90.00 90.00°
Space group P4/mmm (No. 123)
Symmetry-distinct sites (fractional):
Nb: 0.000 0.500 0.000 x2
Ni: 0.000 0.000 0.000 x1
Ge: 0.500 0.500 0.500 x1
As: 0.000 0.000 0.500 x1

---

Table of formation energy (eV/atom), in record order: -0.190, -0.300, 0.617
Table of volume (Å³ per atom), in record order: 18.26, 17.43, 18.97